Run a
This record from the Alexandria database describes a geometry-optimized YHg2Mo structure. The functional is PBE.

a = 4.4192 Å, b = 4.4192 Å, c = 8.7402 Å
α = 90.00°, β = 90.00°, γ = 90.00°
Element x y z (fractional)
Y: 0.0000 0.0000 0.0000
Y: 0.5000 0.5000 0.5000
Hg: 0.0000 0.5000 0.2500
Hg: 0.0000 0.5000 0.7500
Hg: 0.5000 0.0000 0.2500
Hg: 0.5000 0.0000 0.7500
Mo: 0.0000 0.0000 0.5000
Mo: 0.5000 0.5000 0.0000


Run b
This record from the Alexandria database describes a geometry-optimized YHg2Mo structure. The functional is PBE.

a = 4.2545 Å, b = 4.5050 Å, c = 9.1214 Å
α = 90.00°, β = 90.00°, γ = 90.00°
Element x y z (fractional)
Y: 0.0000 0.0000 0.0000
Y: 0.5000 0.5000 0.0000
Hg: 0.0000 0.0000 0.4678
Hg: 0.0000 0.5000 0.7304
Hg: 0.5000 0.0000 0.7304
Hg: 0.5000 0.5000 0.4678
Mo: 0.0000 0.5000 0.2442
Mo: 0.5000 0.0000 0.2442


From most stable to least stable, the computed energies give run a, run b.


Run a
This record from the Alexandria database describes a geometry-optimized YHg2Mo structure. The functional is PBE.

a = 7.0343 Å, b = 7.0343 Å, c = 7.0343 Å
α = 90.00°, β = 90.00°, γ = 90.00°
Element x y z (fractional)
Y: 0.0000 0.0000 0.0000
Y: 0.0000 0.5000 0.5000
Y: 0.5000 0.0000 0.5000
Y: 0.5000 0.5000 0.0000
Hg: 0.2500 0.2500 0.2500
Hg: 0.2500 0.2500 0.7500
Hg: 0.2500 0.7500 0.2500
Hg: 0.2500 0.7500 0.7500
Hg: 0.7500 0.2500 0.2500
Hg: 0.7500 0.2500 0.7500
Hg: 0.7500 0.7500 0.2500
Hg: 0.7500 0.7500 0.7500
Mo: 0.0000 0.0000 0.5000
Mo: 0.0000 0.5000 0.0000
Mo: 0.5000 0.0000 0.0000
Mo: 0.5000 0.5000 0.5000


Run b
This record from the Alexandria database describes a geometry-optimized YHg2Mo structure. The functional is PBE.

a = 4.2870 Å, b = 4.2870 Å, c = 20.8782 Å
α = 90.00°, β = 90.00°, γ = 90.00°
Element x y z (fractional)
Y: 0.0000 0.0000 0.0000
Y: 0.0000 0.5000 0.2500
Y: 0.5000 0.0000 0.7500
Y: 0.5000 0.5000 0.5000
Hg: 0.2216 0.2500 0.6250
Hg: 0.2500 0.7216 0.8750
Hg: 0.2500 0.7784 0.3750
Hg: 0.2784 0.2500 0.1250
Hg: 0.7216 0.7500 0.1250
Hg: 0.7500 0.2216 0.3750
Hg: 0.7500 0.2784 0.8750
Hg: 0.7784 0.7500 0.6250
Mo: 0.0000 0.0000 0.5000
Mo: 0.0000 0.5000 0.7500
Mo: 0.5000 0.0000 0.2500
Mo: 0.5000 0.5000 0.0000


From most stable to least stable, the computed energies give run a, run b.